Below is a geometry-optimized ZnPt8Rh6 structure, with properties calculated at the GGA-PBE level.

Output
**DOS at the Fermi energy**: 23.151 states/eV/cell
**Total magnetic moment**: 0.00 μB/cell
**Calculated formation energy**: 0.07 eV/atom

The structure in POSCAR format:
```
ZnPt8Rh6
1.0
3.291 1.900 6.214
-3.291 1.900 6.214
0.000 -3.800 6.214
Zn Pt Rh
1 8 6
Cartesian
0.000 0.000 0.000 Zn
0.000 0.000 3.285 Pt
-0.571 -1.538 8.211 Pt
-1.617 -0.275 10.431 Pt
-1.046 1.263 8.211 Pt
1.046 -1.263 10.431 Pt
1.617 0.275 8.211 Pt
0.571 1.538 10.431 Pt
0.000 0.000 15.356 Pt
-0.617 -1.439 5.512 Rh
-0.937 1.254 5.512 Rh
-1.555 -0.185 13.130 Rh
1.555 0.185 5.512 Rh
0.937 -1.254 13.130 Rh
0.617 1.439 13.130 Rh
```

Below is a geometry-optimized SrUN2 structure, with properties calculated at the GGA-PBE level.

Output
**DOS at the Fermi energy**: 4.526 states/eV/cell
**Total magnetic moment**: 2.00 μB/cell
**Energy relative to the elements, uncorrected**: -1.021 eV/atom

The structure in POSCAR format:
```
SrUN2
1.0
1.771 1.022 6.173
-1.771 1.022 6.173
0.000 -2.044 6.173
Sr U N
1 1 2
Cartesian
0.000 0.000 0.000 Sr
0.000 0.000 3.220 U
0.000 0.000 10.585 N
0.000 0.000 14.390 N
```

Below is a geometry-optimized KMn2Au structure, with properties calculated at the GGA-PBE level.

Output
**DOS at the Fermi energy**: 3.341 states/eV/cell
**Total magnetic moment**: 8.49 μB/cell
**E above lowest polymorph**: 170 meV per atom
**Calculated formation energy**: 0.57 eV/atom

The structure in POSCAR format:
```
KMn2Au
1.0
-1.500 2.751 5.521
1.500 -2.751 5.521
1.500 2.751 -5.521
K Mn Au
1 2 1
Cartesian
0.000 0.000 0.000 K
1.500 0.000 3.223 Mn
0.000 2.751 2.297 Mn
0.000 0.000 5.521 Au
```